Computed, not measured: a geometry-optimized LiTcAs2 structure at the GGA-PBE level of DFT.

Calculated values
The density of states at the Fermi level is 1.6 states/eV/f.u. The size of the total moment comes out at 0.000 μB/cell. For the energy above the most stable polymorph in this dataset, the calculation gives 44 meV per atom. The volume is 16.66 Å³/atom. As for the symmetry: R-3m. As for the crystal system: trigonal.

Cell lengths 7.8890, 7.8890, 7.8890 Å; angles 23.15, 23.15, 23.15 degrees
Fractional coordinates of all 4 atoms:
As (0.0064, 0.0064, 0.0064)
As (0.4936, 0.4936, 0.4936)
Li (0.2500, 0.2500, 0.2500)
Tc (0.7500, 0.7500, 0.7500)